# 1
This record from the Alexandria database describes crystalline ThSc5Cu4 at its relaxed geometry. The functional is GGA-PBE.

Values from the calculation:
- space group = P4/mmm
- DFT formation energy (eV per atom) = -0.21
- total moment (μB per formula unit) = 0.0
- E (eV per atom) = -5.760

POSCAR file:
```
ThSc5Cu4
1.0
3.2577 0.0000 0.0000
0.0000 3.2577 0.0000
0.0000 0.0000 18.2947
Cu Sc Th
4 5 1
direct
0.0000 0.0000 0.2293 Cu
0.0000 0.0000 0.4102 Cu
0.0000 0.0000 0.5898 Cu
0.0000 0.0000 0.7707 Cu
0.5000 0.5000 0.3194 Sc
0.5000 0.5000 0.1405 Sc
0.5000 0.5000 0.6806 Sc
0.5000 0.5000 0.5000 Sc
0.5000 0.5000 0.8595 Sc
0.0000 0.0000 0.0000 Th
```

=====

# 2
This record from the Alexandria database describes crystalline KNaHg3 at its relaxed geometry. The functional is GGA-PBE.

Values from the calculation:
- space group = Cm
- DFT formation energy (eV per atom) = -0.18
- total moment (μB per formula unit) = 0.0
- E (eV per atom) = -0.840
- offset from the most stable computed form (eV per atom) = 0.0755

POSCAR file:
```
KNaHg3
1.0
-2.4496 1.1862 4.1745
3.5159 -2.2696 2.7067
4.0273 5.3327 3.8085
Hg K Na
3 1 1
direct
0.1566 0.4600 0.3917 Hg
0.7984 0.6021 0.1083 Hg
0.6568 0.9607 0.3916 Hg
0.3758 0.1792 0.9540 K
0.0202 0.8232 0.6655 Na
```

=====

# 3
This record from the Alexandria database describes crystalline BiPd2Au2 at its relaxed geometry. The functional is GGA-PBE.

Values from the calculation:
- space group = I4/mmm
- DFT formation energy (eV per atom) = 0.06
- total moment (μB per formula unit) = 0.0
- E (eV per atom) = -4.103
- offset from the most stable computed form (eV per atom) = 0.1457

POSCAR file:
```
BiPd2Au2
1.0
-1.1823 -3.6113 -0.9695
3.4245 -1.4540 1.2401
-1.4210 -3.3331 6.2168
Pd Au Bi
2 2 1
direct
0.7500 0.2500 0.5000 Pd
0.2500 0.7500 0.5000 Pd
0.3953 0.3953 0.2093 Au
0.6047 0.6047 0.7907 Au
0.0000 0.0000 0.0000 Bi
```

=====

# 4
This record from the Alexandria database describes crystalline Nd3CoRh at its relaxed geometry. The functional is GGA-PBE.

Values from the calculation:
- space group = P-1
- DFT formation energy (eV per atom) = -0.30
- total moment (μB per formula unit) = 0.0
- E (eV per atom) = -6.049
- offset from the most stable computed form (eV per atom) = 0.0269

POSCAR file:
```
Nd3CoRh
1.0
-3.6583 -0.9041 -0.9855
3.9132 -6.9814 -0.4661
-1.6370 -1.9959 7.9049
Co Nd Rh
2 6 2
direct
0.8070 0.6483 0.7637 Co
0.2367 0.5056 0.6577 Co
0.7889 0.6109 0.3987 Nd
0.6267 0.2833 0.7594 Nd
0.9678 0.9694 0.0349 Nd
0.2551 0.5432 0.0227 Nd
0.0763 0.1848 0.3868 Nd
0.4172 0.8707 0.6621 Nd
0.6224 0.2773 0.1409 Rh
0.4218 0.8771 0.2808 Rh
```

=====

# 5
This record from the Alexandria database describes crystalline TaTc2Te at its relaxed geometry. The functional is GGA-PBE.

Values from the calculation:
- space group = Cm
- total moment (μB per formula unit) = 0.0
- E (eV per atom) = -8.756

POSCAR file:
```
TaTc2Te
1.0
5.1808 0.0051 -0.0048
4.2218 3.0028 -0.0048
1.3339 0.4267 4.3993
Ta Te Tc
1 1 2
direct
0.2516 0.2516 0.2652 Ta
0.4916 0.4916 0.4898 Te
0.7447 0.7447 0.7998 Tc
0.0120 0.0120 0.9452 Tc
```

=====

# 6
This record from the Alexandria database describes crystalline Sc2ZnGe2Rh5 at its relaxed geometry. The functional is GGA-PBE.

Values from the calculation:
- space group = P4/mbm
- DFT formation energy (eV per atom) = -0.75
- total moment (μB per formula unit) = 0.0
- E (eV per atom) = -6.740

POSCAR file:
```
Sc2ZnGe2Rh5
1.0
-0.0219 2.2959 2.6703
6.3304 -5.3261 4.6310
7.0576 4.8288 -4.0939
Rh Sc Zn Ge
10 4 2 4
direct
0.5000 0.4314 0.2976 Rh
0.5000 0.2976 0.5686 Rh
0.5000 0.0000 0.5000 Rh
0.5000 0.0686 0.7976 Rh
0.5000 0.5000 0.0000 Rh
0.5000 0.2024 0.0686 Rh
0.5000 0.7976 0.9314 Rh
0.5000 0.7024 0.4314 Rh
0.5000 0.9314 0.2024 Rh
0.5000 0.5686 0.7024 Rh
0.0000 0.3292 0.8292 Sc
0.0000 0.1708 0.3292 Sc
0.0000 0.8292 0.6708 Sc
0.0000 0.6708 0.1708 Sc
0.0000 0.5000 0.5000 Zn
0.0000 0.0000 0.0000 Zn
0.0000 0.8704 0.3704 Ge
0.0000 0.1296 0.6296 Ge
0.0000 0.6296 0.8704 Ge
0.0000 0.3704 0.1296 Ge
```

=====

# 7
This record from the Alexandria database describes crystalline VNiBi3 at its relaxed geometry. The functional is GGA-PBE.

Values from the calculation:
- space group = Pm-3m
- DFT formation energy (eV per atom) = 0.81
- total moment (μB per formula unit) = 0.3
- E (eV per atom) = -4.496
- offset from the most stable computed form (eV per atom) = 0.1666

POSCAR file:
```
VNiBi3
1.0
-1.1424 3.9508 -3.1841
-5.0731 -0.9568 0.6329
-0.1050 3.2447 4.0637
Bi Ni V
3 1 1
direct
0.0000 0.5000 0.0000 Bi
0.0000 0.0000 0.5000 Bi
0.5000 0.0000 0.0000 Bi
0.5000 0.5000 0.5000 Ni
0.0000 0.0000 0.0000 V
```

=====

# 8
This record from the Alexandria database describes crystalline Ce2ZnNi3Pt12 at its relaxed geometry. The functional is GGA-PBE.

Values from the calculation:
- space group = R-3m
- DFT formation energy (eV per atom) = -0.17
- total moment (μB per formula unit) = 3.0
- E (eV per atom) = -5.891

POSCAR file:
```
Ce2ZnNi3Pt12
1.0
-2.7841 -5.6508 -4.5834
4.4373 -2.4858 -5.9010
3.1996 -7.0840 0.5199
Pt Zn Ni Ce
12 1 3 2
direct
0.8625 0.8625 0.3854 Pt
0.6232 0.6232 0.1242 Pt
0.8758 0.3768 0.3768 Pt
0.8625 0.3854 0.8625 Pt
0.1242 0.6232 0.6232 Pt
0.1375 0.6146 0.1375 Pt
0.1375 0.1375 0.6146 Pt
0.3768 0.3768 0.8758 Pt
0.6232 0.1242 0.6232 Pt
0.6146 0.1375 0.1375 Pt
0.3768 0.8758 0.3768 Pt
0.3854 0.8625 0.8625 Pt
0.0000 0.0000 0.0000 Zn
0.0000 0.0000 0.5000 Ni
0.5000 0.0000 0.0000 Ni
0.0000 0.5000 0.0000 Ni
0.6191 0.6191 0.6191 Ce
0.3809 0.3809 0.3809 Ce
```

=====

# 9
This record from the Alexandria database describes crystalline La3Tl3Hg at its relaxed geometry. The functional is GGA-PBE.

Values from the calculation:
- space group = C2/m
- DFT formation energy (eV per atom) = -0.39
- total moment (μB per formula unit) = 0.0
- E (eV per atom) = -3.560

POSCAR file:
```
La3Tl3Hg
1.0
4.8467 0.0000 0.7301
2.3916 5.9311 0.5757
0.1645 0.1046 15.3607
Tl La Hg
6 6 2
direct
0.0094 0.2094 0.7718 Tl
0.1381 0.2600 0.4638 Tl
0.8619 0.7400 0.5362 Tl
0.1204 0.8358 0.9235 Tl
0.8796 0.1642 0.0765 Tl
0.9906 0.7906 0.2282 Tl
0.4631 0.6909 0.3829 La
0.6006 0.7234 0.0754 La
0.2689 0.2360 0.2261 La
0.3994 0.2766 0.9246 La
0.7311 0.7640 0.7739 La
0.5369 0.3091 0.6171 La
0.2440 0.8876 0.6244 Hg
0.7560 0.1124 0.3756 Hg
```

=====

# 10
This record from the Alexandria database describes crystalline CaPHO at its relaxed geometry. The functional is GGA-PBE.

Values from the calculation:
- space group = P1
- total moment (μB per formula unit) = 0.0
- E (eV per atom) = -4.978
- offset from the most stable computed form (eV per atom) = 0.1802

POSCAR file:
```
CaPHO
1.0
-2.8473 1.2413 2.4022
1.4917 -2.5670 2.6327
3.0908 2.8476 -0.0293
Ca P O H
1 1 1 1
direct
0.3008 0.0208 0.3440 Ca
0.9480 0.5433 0.6689 P
0.3413 0.4628 0.0108 O
0.5632 0.5000 0.9328 H
```

=====

# 11
This record from the Alexandria database describes crystalline Ce2InO at its relaxed geometry. The functional is GGA-PBE.

Values from the calculation:
- space group = R-3m
- total moment (μB per formula unit) = 1.1
- E (eV per atom) = -6.367
- offset from the most stable computed form (eV per atom) = 0.0000

POSCAR file:
```
Ce2InO
1.0
-0.4062 0.1702 -3.5982
-1.6698 -2.6904 -1.7648
-7.6965 2.8733 -0.8214
In Ce O
1 2 1
direct
0.5000 0.5000 0.5000 In
0.7238 0.7238 0.8285 Ce
0.2762 0.2762 0.1715 Ce
0.0000 0.0000 0.0000 O
```

=====

# 12
This record from the Alexandria database describes crystalline Fe2BH at its relaxed geometry. The functional is GGA-PBE.

Values from the calculation:
- space group = Fm-3m
- total moment (μB per formula unit) = 3.0
- E (eV per atom) = -6.531
- offset from the most stable computed form (eV per atom) = 0.1222

POSCAR file:
```
Fe2BH
1.0
0.0000 2.4717 2.4717
2.4717 0.0000 2.4717
2.4717 2.4717 0.0000
Fe H B
2 1 1
direct
0.7500 0.7500 0.7500 Fe
0.2500 0.2500 0.2500 Fe
0.0000 0.0000 0.0000 H
0.5000 0.5000 0.5000 B
```